Dy14ErZr: optimized geometry, GGA-PBE.

Unit cell a=7.034 b=7.034 c=9.921 alpha=90.00 beta=90.00 gamma=90.00
Sites, in units of the cell vectors:
Dy: 0.000 0.000 0.000
Dy: 0.000 0.500 0.000
Dy: 0.000 0.500 0.500
Dy: 0.245 0.245 0.255
Dy: 0.245 0.245 0.745
Dy: 0.245 0.755 0.255
Dy: 0.245 0.755 0.745
Dy: 0.500 0.000 0.000
Dy: 0.500 0.000 0.500
Dy: 0.500 0.500 0.000
Dy: 0.755 0.245 0.255
Dy: 0.755 0.245 0.745
Dy: 0.755 0.755 0.255
Dy: 0.755 0.755 0.745
Er: 0.500 0.500 0.500
Zr: 0.000 0.000 0.500

## Properties
Density = 8.57 Mg/m³
ΔE_f = 0.03 eV/atom

Cd2InAs2Pd5: optimized geometry, GGA-PBE.

Unit cell a=10.365 b=10.365 c=3.357 alpha=90.00 beta=90.00 gamma=90.00
Sites, in units of the cell vectors:
Cd: 0.175 0.325 0.000
Cd: 0.325 0.825 0.000
Cd: 0.675 0.175 0.000
Cd: 0.825 0.675 0.000
In: 0.000 0.000 0.000
In: 0.500 0.500 0.000
As: 0.137 0.637 0.000
As: 0.363 0.137 0.000
As: 0.637 0.863 0.000
As: 0.863 0.363 0.000
Pd: 0.000 0.500 0.500
Pd: 0.015 0.789 0.500
Pd: 0.211 0.015 0.500
Pd: 0.289 0.515 0.500
Pd: 0.485 0.289 0.500
Pd: 0.500 0.000 0.500
Pd: 0.515 0.711 0.500
Pd: 0.711 0.485 0.500
Pd: 0.789 0.985 0.500
Pd: 0.985 0.211 0.500

## Properties
Density = 9.41 Mg/m³
ΔE_f = -0.30 eV/atom

SrTmPt2: optimized geometry, GGA-PBE.

Unit cell a=7.087 b=7.087 c=7.087 alpha=90.00 beta=90.00 gamma=90.00
Sites, in units of the cell vectors:
Sr: 0.000 0.000 0.000
Sr: 0.000 0.500 0.500
Sr: 0.500 0.000 0.500
Sr: 0.500 0.500 0.000
Tm: 0.000 0.000 0.500
Tm: 0.000 0.500 0.000
Tm: 0.500 0.000 0.000
Tm: 0.500 0.500 0.500
Pt: 0.250 0.250 0.250
Pt: 0.250 0.250 0.750
Pt: 0.250 0.750 0.250
Pt: 0.250 0.750 0.750
Pt: 0.750 0.250 0.250
Pt: 0.750 0.250 0.750
Pt: 0.750 0.750 0.250
Pt: 0.750 0.750 0.750

## Properties
Energy relative to the lowest polymorph listed for this composition = 142 meV per atom
Density = 12.07 Mg/m³
ΔE_f = -0.93 eV/atom

BeBiB: optimized geometry, GGA-PBE.

Unit cell a=3.285 b=3.573 c=8.724 alpha=90.00 beta=99.19 gamma=90.00
Sites, in units of the cell vectors:
Be: 0.000 0.000 0.000
Be: 0.039 0.500 0.090
Bi: 0.655 0.000 0.387
Bi: 0.904 0.500 0.750
B: 0.539 0.244 0.090
B: 0.539 0.756 0.090

## Properties
Energy relative to the lowest polymorph listed for this composition = 155 meV per atom
Density = 7.52 Mg/m³
ΔE_f = 0.27 eV/atom

CsInS2O8: optimized geometry, GGA-PBE.

Unit cell a=5.070 b=5.070 c=8.936 alpha=94.82 beta=94.82 gamma=64.14
Sites, in units of the cell vectors:
Cs: 0.000 0.000 0.000
In: 0.000 0.000 0.500
S: 0.374 0.374 0.689
S: 0.626 0.626 0.311
O: 0.249 0.249 0.561
O: 0.249 0.701 0.675
O: 0.299 0.751 0.325
O: 0.316 0.316 0.837
O: 0.684 0.684 0.163
O: 0.701 0.249 0.675
O: 0.751 0.299 0.325
O: 0.751 0.751 0.439

## Properties
Uncorrected formation energy = -37.04 kcal/mol of atoms
Density = 3.55 Mg/m³

ZrTlB2Pd: optimized geometry, GGA-PBE.

Unit cell a=4.577 b=4.577 c=5.112 alpha=90.00 beta=90.00 gamma=90.00
Sites, in units of the cell vectors:
Zr: 0.000 0.000 0.000
Tl: 0.500 0.500 0.500
B: 0.000 0.500 0.000
B: 0.500 0.000 0.000
Pd: 0.000 0.000 0.500

## Properties
Energy relative to the lowest polymorph listed for this composition = 0 meV per atom
Density = 6.57 Mg/m³
ΔE_f = 1.31 eV/atom

ZnTcMo3: optimized geometry, GGA-PBE.

Unit cell a=4.489 b=4.489 c=4.489 alpha=90.00 beta=90.00 gamma=90.00
Sites, in units of the cell vectors:
Zn: 0.000 0.000 0.000
Tc: 0.500 0.500 0.500
Mo: 0.000 0.000 0.500
Mo: 0.000 0.500 0.000
Mo: 0.500 0.000 0.000

## Properties
Energy relative to the lowest polymorph listed for this composition = 238 meV per atom
Density = 8.29 Mg/m³
ΔE_f = 1.83 eV/atom

Pr3Ga4Pt4: optimized geometry, GGA-PBE.

Unit cell a=13.510 b=13.510 c=13.510 alpha=162.77 beta=161.22 gamma=25.60
Sites, in units of the cell vectors:
Pr: 0.000 0.000 0.000
Pr: 0.353 0.853 0.500
Pr: 0.647 0.147 0.500
Ga: 0.098 0.598 0.500
Ga: 0.253 0.253 0.000
Ga: 0.747 0.747 0.000
Ga: 0.902 0.402 0.500
Pt: 0.194 0.694 0.500
Pt: 0.448 0.448 0.000
Pt: 0.552 0.552 0.000
Pt: 0.806 0.306 0.500

## Properties
Energy relative to the lowest polymorph listed for this composition = 0 meV per atom
Density = 10.47 Mg/m³
ΔE_f = -0.97 eV/atom

NaEuMg2: optimized geometry, GGA-PBE.

Unit cell a=3.428 b=3.428 c=37.011 alpha=90.00 beta=90.00 gamma=120.00
Sites, in units of the cell vectors:
Na: 0.000 0.000 0.000
Na: 0.333 0.667 0.667
Na: 0.667 0.333 0.333
Eu: 0.000 0.000 0.500
Eu: 0.333 0.667 0.167
Eu: 0.667 0.333 0.833
Mg: 0.000 0.000 0.087
Mg: 0.000 0.000 0.913
Mg: 0.333 0.667 0.579
Mg: 0.333 0.667 0.754
Mg: 0.667 0.333 0.246
Mg: 0.667 0.333 0.421

## Properties
Energy relative to the lowest polymorph listed for this composition = 112 meV per atom
Density = 2.96 Mg/m³
ΔE_f = 0.16 eV/atom

AcLaZnPd: optimized geometry, GGA-PBE.

Unit cell a=4.616 b=4.253 c=11.430 alpha=90.00 beta=90.00 gamma=90.00
Sites, in units of the cell vectors:
Ac: 0.000 0.000 0.000
Ac: 0.000 0.500 0.500
La: 0.500 0.000 0.282
La: 0.500 0.500 0.782
Zn: 0.500 0.000 0.575
Zn: 0.500 0.500 0.075
Pd: 0.000 0.000 0.714
Pd: 0.000 0.500 0.214

## Properties
Energy relative to the lowest polymorph listed for this composition = 0 meV per atom
Density = 7.96 Mg/m³
ΔE_f = -0.52 eV/atom

Li7In2Sn2: optimized geometry, GGA-PBE.

Unit cell a=5.843 b=5.843 c=8.358 alpha=90.00 beta=90.00 gamma=121.04
Sites, in units of the cell vectors:
Li: 0.000 0.000 0.000
Li: 0.000 0.500 0.303
Li: 0.000 0.500 0.697
Li: 0.500 0.000 0.303
Li: 0.500 0.000 0.697
Li: 0.500 0.500 0.197
Li: 0.500 0.500 0.803
In: 0.246 0.246 0.500
In: 0.754 0.754 0.500
Sn: 0.284 0.716 0.000
Sn: 0.716 0.284 0.000

## Properties
Density = 3.50 Mg/m³
ΔE_f = -0.17 eV/atom

Sn4Hg: optimized geometry, GGA-PBE.

Unit cell a=5.673 b=5.673 c=9.432 alpha=94.21 beta=94.21 gamma=110.53
Sites, in units of the cell vectors:
Sn: 0.009 0.009 0.341
Sn: 0.179 0.556 0.799
Sn: 0.243 0.243 0.070
Sn: 0.444 0.821 0.201
Sn: 0.556 0.179 0.799
Sn: 0.757 0.757 0.930
Sn: 0.821 0.444 0.201
Sn: 0.991 0.991 0.659
Hg: 0.337 0.663 0.500
Hg: 0.663 0.337 0.500

## Properties
Energy relative to the lowest polymorph listed for this composition = 11 meV per atom
Density = 7.96 Mg/m³
ΔE_f = 0.07 eV/atom

Rb2DyYO4: optimized geometry, GGA-PBE.

Unit cell a=6.089 b=3.515 c=6.871 alpha=90.00 beta=107.17 gamma=90.00
Sites, in units of the cell vectors:
Rb: 0.000 0.000 0.000
Rb: 0.500 0.500 0.000
Dy: 0.000 0.500 0.500
Y: 0.500 0.000 0.500
O: 0.224 0.000 0.675
O: 0.274 0.500 0.324
O: 0.726 0.500 0.676
O: 0.776 0.000 0.325

## Properties
Uncorrected formation energy = -61.97 kcal/mol of atoms
Density = 5.75 Mg/m³

Pr8Pt3AuI4: optimized geometry, GGA-PBE.

Unit cell a=9.549 b=9.549 c=9.549 alpha=54.00 beta=54.00 gamma=54.00
Sites, in units of the cell vectors:
Pr: 0.221 0.734 0.734
Pr: 0.230 0.230 0.230
Pr: 0.266 0.266 0.779
Pr: 0.266 0.779 0.266
Pr: 0.734 0.221 0.734
Pr: 0.734 0.734 0.221
Pr: 0.770 0.770 0.770
Pr: 0.779 0.266 0.266
Pt: 0.000 0.000 0.500
Pt: 0.000 0.500 0.000
Pt: 0.500 0.000 0.000
Au: 0.500 0.500 0.500
I: 0.000 0.000 0.000
I: 0.000 0.500 0.500
I: 0.500 0.000 0.500
I: 0.500 0.500 0.000

## Properties
Uncorrected formation energy = -24.05 kcal/mol of atoms
Density = 7.58 Mg/m³